(1)
Material: Mg2Ti2Ge
Method: DFT, GGA-PBE
State: relaxed

E_form	0.015	eV/atom
magnetization	1.124	μB/f.u.

Cell lengths 6.5938, 6.5938, 4.6503 Å; angles 90.00, 90.00, 90.00 degrees
Site moments in Bohr magnetons follow the coordinates.
Element x y z (fractional)
Ti  0.6437  0.1437  0.0000  0.44
Ti  0.1437  0.3563  0.0000  0.43
Ti  0.8563  0.6437  0.0000  0.43
Ti  0.3563  0.8563  0.0000  0.44
Mg  0.1590  0.6590  0.5000  0.00
Mg  0.8410  0.3410  0.5000  0.00
Mg  0.6590  0.8410  0.5000  0.00
Mg  0.3410  0.1590  0.5000  0.00
Ge  0.5000  0.5000  0.0000  0.02
Ge  0.0000  0.0000  0.0000  0.02

(2)
Material: Mg2TiGe2
Method: DFT, GGA-PBE
State: relaxed

E_form	-0.167	eV/atom
magnetization	0.000	μB/f.u.

Cell lengths 6.8168, 6.8168, 4.1094 Å; angles 90.00, 90.00, 90.00 degrees
Element x y z (fractional)
Ge  0.6338  0.1338  0.0000
Ge  0.3662  0.8662  0.0000
Ge  0.8662  0.6338  0.0000
Ge  0.1338  0.3662  0.0000
Mg  0.1765  0.6765  0.5000
Mg  0.3235  0.1765  0.5000
Mg  0.6765  0.8235  0.5000
Mg  0.8235  0.3235  0.5000
Ti  0.5000  0.5000  0.0000
Ti  0.0000  0.0000  0.0000

(3)
Material: MgTi2Ge
Method: DFT, GGA-PBE
State: relaxed

E_form	0.118	eV/atom
magnetization	0.000	μB/f.u.

Cell lengths 7.3628, 7.3628, 5.8771 Å; angles 51.22, 51.22, 90.00 degrees
Element x y z (fractional)
Ti  0.6485  0.1250  0.2500
Ti  0.8750  0.8985  0.7500
Ti  0.3750  0.3515  0.7500
Ti  0.1015  0.6250  0.2500
Ge  0.7500  0.2500  0.5000
Ge  0.0000  0.0000  0.0000
Mg  0.5000  0.5000  0.0000
Mg  0.2500  0.7500  0.5000

(4)
Material: MgTi2GeW
Method: DFT, GGA-PBE
State: relaxed

E_form	1.581	eV/atom
magnetization	0.000	μB/f.u.

Cell lengths 4.6210, 4.4264, 4.6210 Å; angles 90.00, 90.00, 90.00 degrees
Element x y z (fractional)
Ti  0.0000  0.0000  0.5000
Ti  0.5000  0.0000  0.0000
Ge  0.0000  0.5000  0.0000
W  0.5000  0.5000  0.5000
Mg  0.0000  0.0000  0.0000